Here is BaLi2AlHg after structural relaxation from Alexandria via LeMat-Bulk. Energies are from PBEsol.

Output
- calculated formation energy (eV/f.u.) = 0.94
- DOS(E_F) (states/eV/atom) = 0.850
- mass density (kg/m³) = 3860
- V (Å³/cell) = 163

```
data_BaLi2AlHg
_cell_length_a 5.1105
_cell_length_b 5.1105
_cell_length_c 6.2389
_cell_angle_alpha 90.00
_cell_angle_beta 90.00
_cell_angle_gamma 90.00
_symmetry_space_group_name_H-M 'P 4/m m m'
_symmetry_Int_Tables_number 123
_symmetry_space_group_name_Hall '-P 4 2'
loop_
_atom_site_label
_atom_site_type_symbol
_atom_site_fract_x
_atom_site_fract_y
_atom_site_fract_z
Ba1 Ba 0.0000 0.0000 0.0000
Li1 Li 0.0000 0.5000 0.5000
Al1 Al 0.5000 0.5000 0.0000
Hg1 Hg 0.0000 0.0000 0.5000
```